Compound: Na5LiFe2P2C2O14
Source: Alexandria
Functional: PBE+U
Structure: optimized geometry

## Properties
- Space-group type: No. 2
- Electronic total energy: -6.506 eV per atom
- D(E_F): 0.00 states/eV/atom

Lattice parameters (Å, degrees): 6.6469 8.9349 10.5053 90.96 90.27 91.76
Closest atoms and distances in Å follow each position.
Fractional positions:
Na1 0.4888 0.2603 0.6256  6 O 2.37-2.60
O1 0.0766 0.6759 0.1558  1 P 1.57
O2 0.7786 0.5738 0.3410  1 P 1.55
O3 0.4494 0.6780 0.1419  1 P 1.56
O4 0.2432 0.1164 0.7761  1 C 1.30
Na2 0.5016 0.2614 0.1234  5 O 2.29-2.56
Fe1 0.2390 0.3515 0.8568  6 O 2.10-2.30
O5 0.9402 0.3174 0.3604  1 P 1.56
O6 0.2566 0.4281 0.1706  1 P 1.54
Na3 0.2308 0.9195 0.6253  5 O 2.35-2.62
C1 0.2453 0.0589 0.8890  3 O 1.29-1.31
P1 0.2381 0.5835 0.5984  4 O 1.55-1.57
O7 0.0598 0.6826 0.6396  1 P 1.56
P2 0.7619 0.4165 0.4016  4 O 1.55-1.57
O8 0.2310 0.1483 0.9882  1 C 1.31
O9 0.2607 0.9163 0.9036  1 C 1.29
Li1 0.0493 0.7013 0.3541  4 O 2.05-2.15
O10 0.2326 0.9009 0.3851  1 C 1.30
Li2 0.9507 0.2987 0.6459  4 O 2.05-2.15
Fe2 0.7466 0.6537 0.6378  5 O 2.09-2.25
O11 0.2428 0.5620 0.9590  1 P 1.56
O12 0.7674 0.0991 0.6149  1 C 1.30
O13 0.7434 0.5719 0.8294  1 P 1.54
Fe3 0.7610 0.6485 0.1432  6 O 2.10-2.30
O14 0.4326 0.6726 0.6414  1 P 1.56
Na4 0.5112 0.7397 0.3744  6 O 2.37-2.60
O15 0.7616 0.4351 0.5501  1 P 1.57
Fe4 0.2534 0.3463 0.3622  5 O 2.09-2.25
P3 0.7432 0.4180 0.8935  4 O 1.54-1.57
Na5 0.9930 0.2633 0.1276  5 O 2.29-2.51
O16 0.7393 0.0837 0.0964  1 C 1.29
O17 0.2214 0.4262 0.6590  1 P 1.55
Na6 0.0070 0.7367 0.8724  5 O 2.29-2.51
O18 0.2442 0.1156 0.2733  1 C 1.31
C2 0.7533 0.9539 0.6180  3 O 1.30-1.31
O19 0.9234 0.3241 0.8442  1 P 1.57
Na7 0.4984 0.7386 0.8766  5 O 2.29-2.56
Na8 0.7547 0.0854 0.8671  4 O 2.30-2.55
C3 0.2467 0.0461 0.3820  3 O 1.30-1.31
O20 0.7572 0.4380 0.0410  1 P 1.56
O21 0.7568 0.8836 0.2239  1 C 1.30
O22 0.5674 0.3274 0.3586  1 P 1.56
C4 0.7547 0.9411 0.1110  3 O 1.29-1.31
P4 0.2568 0.5820 0.1065  4 O 1.54-1.57
O23 0.7371 0.8735 0.5141  1 C 1.30
O24 0.7558 0.8844 0.7267  1 C 1.31
Na9 0.2453 0.9146 0.1329  4 O 2.30-2.55
O25 0.7690 0.8517 0.0118  1 C 1.31
O26 0.5506 0.3220 0.8581  1 P 1.56
Na10 0.7692 0.0805 0.3747  5 O 2.35-2.62
O27 0.2629 0.1265 0.4859  1 C 1.30
O28 0.2384 0.5649 0.4499  1 P 1.57